(1)
NaFePdS3 | the Open Quantum Materials Database | GGA-PBE | relaxed; total magnetization = 0.27 μB per atom; DFT total energy = -4.962 eV per atom
1.0
12.465 0.000 0.000
0.000 3.494 0.000
0.000 0.000 9.815
Na Fe Pd S
4 4 4 12
Cartesian
2.832 0.873 0.720
3.400 2.620 5.628
9.065 0.873 4.187
9.633 2.620 9.094
0.057 0.873 3.326
6.176 2.620 8.234
6.289 0.873 1.581
12.408 2.620 6.488
0.214 0.873 8.810
6.019 2.620 3.902
6.446 0.873 5.912
12.251 2.620 1.005
1.088 0.873 5.426
1.475 2.620 2.746
1.550 2.620 8.094
4.683 0.873 3.187
4.758 0.873 7.653
5.145 2.620 0.519
7.320 0.873 9.296
7.707 2.620 2.162
7.782 2.620 6.628
10.915 0.873 1.721
10.990 0.873 7.069
11.377 2.620 4.388


(2)
Cu2SiAs | the Open Quantum Materials Database | GGA-PBE | relaxed; DFT total energy = -4.089 eV per atom
1.0
6.160 0.000 0.000
0.000 6.160 0.000
0.000 0.000 6.160
Cu Si As
8 4 4
Cartesian
1.439 1.439 1.439
1.439 1.439 4.721
1.439 4.721 1.439
1.439 4.721 4.721
4.721 1.439 1.439
4.721 1.439 4.721
4.721 4.721 1.439
4.721 4.721 4.721
0.000 0.000 0.000
0.000 0.000 3.080
0.000 3.080 0.000
3.080 0.000 0.000
0.000 3.080 3.080
3.080 0.000 3.080
3.080 3.080 0.000
3.080 3.080 3.080


(3)
TaTlFeCo | the Open Quantum Materials Database | GGA-PBE | relaxed; total magnetization = 0.84 μB per atom; excess energy over the best structure of this formula in the dataset = 361 meV per atom; DFT total energy = -6.801 eV per atom
1.0
0.000 3.162 3.162
3.162 0.000 3.162
3.162 3.162 0.000
Ta Tl Fe Co
1 1 1 1
Cartesian
0.000 0.000 0.000
1.581 1.581 1.581
3.162 3.162 3.162
4.742 4.742 4.742


(4)
TlNi15 | the Open Quantum Materials Database | GGA-PBE | relaxed; total magnetization = 0.13 μB per atom; excess energy over the best structure of this formula in the dataset = 15 meV per atom; DFT total energy = -5.262 eV per atom
1.0
4.280 0.000 0.000
0.000 33.610 0.000
-1.381 0.000 4.051
Tl Ni
2 30
Cartesian
0.000 0.000 0.000
2.140 13.831 0.000
-0.691 14.514 2.026
0.000 15.678 0.000
-0.691 16.937 2.026
0.000 18.156 0.000
-0.691 19.366 2.026
0.000 20.640 0.000
-0.691 21.862 2.026
0.000 23.092 0.000
-0.691 24.330 2.026
0.000 25.550 0.000
-0.691 26.801 2.026
0.000 28.030 0.000
-0.691 29.246 2.026
0.000 30.509 0.000
-0.691 31.763 2.026
1.449 15.678 2.026
2.140 16.935 0.000
1.449 18.155 2.026
2.140 19.387 0.000
1.449 20.640 2.026
2.140 21.873 0.000
1.449 23.093 2.026
2.140 24.328 0.000
1.449 25.566 2.026
2.140 26.802 0.000
1.449 28.036 2.026
2.140 29.246 0.000
1.449 30.489 2.026
2.140 31.763 0.000
1.449 32.921 2.026


(5)
HoThTl | the Open Quantum Materials Database | GGA-PBE | relaxed; total magnetization = 0.02 μB per atom; excess energy over the best structure of this formula in the dataset = 0 meV per atom; DFT total energy = -4.611 eV per atom
1.0
0.000 3.696 3.696
3.696 0.000 3.696
3.696 3.696 0.000
Ho Th Tl
1 1 1
Cartesian
0.000 0.000 0.000
3.696 3.696 3.696
1.848 1.848 1.848


(6)
LaTmZn2Ge2 | the Open Quantum Materials Database | GGA-PBE | relaxed; total magnetization = 0.00 μB per atom; excess energy over the best structure of this formula in the dataset = 0 meV per atom; DFT total energy = -4.218 eV per atom
1.0
4.283 0.000 0.000
-2.142 3.710 0.000
0.000 0.000 16.148
La Tm Zn Ge
2 2 4 4
Cartesian
0.000 0.000 0.000
0.000 0.000 8.074
0.000 0.000 4.037
0.000 0.000 12.111
0.000 2.473 2.535
0.000 2.473 5.539
2.142 1.237 10.610
2.142 1.237 13.613
0.000 2.473 10.028
0.000 2.473 14.194
2.142 1.237 1.954
2.142 1.237 6.120


(7)
TbBH8SO10 | the Open Quantum Materials Database | GGA-PBE | relaxed; total magnetization = 0.00 μB per atom; DFT total energy = -5.996 eV per atom
1.0
5.882 0.000 0.000
0.197 6.764 0.000
2.241 1.666 9.323
Tb B H S O
2 2 16 2 20
Cartesian
1.170 2.620 2.578
7.150 5.811 6.745
4.215 5.724 6.808
4.105 2.706 2.515
1.489 5.625 1.086
3.514 6.541 8.560
3.649 4.368 8.897
1.599 0.107 0.157
3.739 5.747 4.789
2.618 1.758 0.056
3.548 4.675 2.693
4.690 7.743 6.512
3.630 0.687 2.811
4.772 3.755 6.630
5.702 6.672 9.267
4.581 2.684 4.534
6.720 8.323 9.165
4.671 4.062 0.426
4.806 1.889 0.763
6.831 2.805 8.237
2.283 2.470 6.123
6.037 5.960 3.200
1.886 3.561 7.060
1.771 1.218 6.699
1.695 2.721 4.805
3.281 5.748 7.981
1.684 2.028 0.269
1.947 5.903 0.251
3.314 5.606 5.668
3.773 2.417 6.039
3.153 3.826 2.388
3.217 1.548 2.555
5.103 6.883 6.768
5.167 4.604 6.935
4.547 6.013 3.284
5.006 2.825 3.655
6.373 2.527 9.072
6.636 6.402 9.054
5.039 2.682 1.342
6.625 5.709 4.517
6.549 7.213 2.623
6.434 4.870 2.263


(8)
NdTm4Lu | the Open Quantum Materials Database | GGA-PBE | relaxed; total magnetization = 0.01 μB per atom; energy of formation = 0.99 eV per atom; DFT total energy = -3.540 eV per atom
1.0
4.272 -4.420 0.000
4.272 4.420 0.000
0.000 0.000 5.724
Nd Tm Lu
1 4 1
Cartesian
0.000 0.000 0.000
4.272 2.910 2.862
2.802 0.000 0.000
5.742 0.000 0.000
4.272 -2.910 2.862
4.272 0.000 2.862


(9)
RbHfAsO | the Open Quantum Materials Database | GGA-PBE | relaxed; total magnetization = 0.00 μB per atom; excess energy over the best structure of this formula in the dataset = 0 meV per atom; DFT total energy = -6.741 eV per atom
1.0
4.079 0.000 0.000
0.000 8.577 0.000
0.000 0.000 6.556
Rb Hf As O
2 2 2 2
Cartesian
0.000 1.479 0.000
0.000 7.098 3.278
2.040 3.425 3.798
2.040 5.152 0.520
0.000 1.958 3.231
0.000 6.620 6.509
2.040 3.649 5.786
2.040 4.929 2.508


(10)
SmCdOs | the Open Quantum Materials Database | GGA-PBE | relaxed; total magnetization = 0.00 μB per atom; energy of formation = 0.94 eV per atom; DFT total energy = -4.669 eV per atom
1.0
0.000 3.381 3.381
3.381 0.000 3.381
3.381 3.381 0.000
Sm Cd Os
1 1 1
Cartesian
0.000 0.000 0.000
5.071 5.071 5.071
1.690 1.690 1.690


(11)
PrNbOs | the Open Quantum Materials Database | GGA-PBE | relaxed; total magnetization = 0.00 μB per atom; energy of formation = 0.67 eV per atom; DFT total energy = -8.026 eV per atom
1.0
0.000 3.242 3.242
3.242 0.000 3.242
3.242 3.242 0.000
Pr Nb Os
1 1 1
Cartesian
0.000 0.000 0.000
4.863 4.863 4.863
3.242 3.242 3.242


(12)
Co3W | the Open Quantum Materials Database | GGA-PBE | relaxed; total magnetization = 0.23 μB per atom; energy of formation = -0.08 eV per atom; DFT total energy = -8.650 eV per atom
1.0
5.099 0.000 0.000
-2.550 4.416 0.000
0.000 0.000 4.083
Co W
6 2
Cartesian
0.000 1.430 1.021
-1.311 3.701 1.021
1.238 0.715 3.063
1.311 3.701 1.021
3.861 0.715 3.063
2.550 2.986 3.063
0.000 2.944 3.063
2.550 1.472 1.021


(13)
HoPuBr3N | the Open Quantum Materials Database | GGA-PBE | relaxed; total magnetization = 0.83 μB per atom; DFT total energy = -7.022 eV per atom
1.0
9.052 -1.932 0.000
9.052 1.932 0.000
-6.438 0.000 9.562
Ho Pu Br N
2 2 6 2
Cartesian
-1.584 0.000 4.395
13.250 0.000 5.167
5.236 0.000 2.068
6.430 0.000 7.495
2.912 0.000 0.098
2.661 0.000 3.677
3.434 0.000 7.162
8.231 0.000 2.400
9.004 0.000 5.885
8.753 0.000 9.465
-2.868 0.000 6.249
14.533 0.000 3.313


(14)
PuFeGe | the Open Quantum Materials Database | GGA-PBE | relaxed; total magnetization = 1.19 μB per atom; DFT total energy = -9.148 eV per atom
1.0
0.000 2.975 2.975
2.975 0.000 2.975
2.975 2.975 0.000
Pu Fe Ge
1 1 1
Cartesian
0.000 0.000 0.000
1.488 1.488 1.488
2.975 2.975 2.975


(15)
CdBiPt2 | the Open Quantum Materials Database | GGA-PBE | relaxed; total magnetization = 0.00 μB per atom; DFT total energy = -4.236 eV per atom
1.0
0.000 3.408 3.408
3.408 0.000 3.408
3.408 3.408 0.000
Cd Bi Pt
1 1 2
Cartesian
0.000 0.000 0.000
5.112 5.112 5.112
1.704 1.704 1.704
3.408 3.408 3.408